Record 1
Below is an optimized crystal structure of Ba3SiI2, with properties calculated at the GGA-PBEsol level.

The calculation puts the formation energy (no corrections) at -1.1140 eV/atom. The calculation puts the total magnetization at 0.0000 μB per atom.

The space group is Fddd (No. 70, origin choice 2) and the conventional cell measures 9.966, 13.937 and 29.284 Å, with angles of 90.00, 90.00 and 90.00 degrees. The distinct sites, in fractional coordinates, are Ba at (0.086, 0.375, 0.375), Ba at (0.110, 0.357, 0.216), Si at (0.125, 0.125, 0.041), I at (0.125, 0.125, 0.379) and I at (0.125, 0.125, 0.548).

---

Record 2
Below is an optimized crystal structure of BaSnTe2I, with properties calculated at the GGA-PBEsol level.

The calculation puts the formation energy (no corrections) at -0.7012 eV/atom. The calculation puts the total magnetization at 0.0000 μB per atom.

The space group is P4/mmm (No. 123) and the conventional cell measures 5.729, 5.729 and 5.868 Å, with angles of 90.00, 90.00 and 90.00 degrees. The distinct sites, in fractional coordinates, are Ba at (0.000, 0.000, 0.000), Sn at (0.500, 0.500, 0.500), Te at (0.000, 0.500, 0.500) and I at (0.500, 0.500, 0.000).

---

Record 3
Below is an optimized crystal structure of Ba2SrI6, with properties calculated at the GGA-PBEsol level.

The calculation puts the energy above the lowest structure with this stoichiometry at 0 meV/atom. The calculation puts the formation energy (no corrections) at -1.7548 eV/atom. The calculation puts the total magnetization at 0.0000 μB per atom.

The space group is P-62m (No. 189) and the conventional cell measures 9.0450, 9.0450 and 4.9186 Å, with angles of 90.00, 90.00 and 120.00 degrees. The distinct sites, in fractional coordinates, are Ba at (0.3333, 0.6667, 0.0000), Sr at (0.0000, 0.0000, 0.5000), I at (0.0000, 0.2500, 0.0000) and I at (0.0000, 0.5942, 0.5000).